[1]
Computed, not measured: a relaxed Dy2Mg3Tl2 crystal at the GGA-PBE level of DFT.

The space group is Cmmm (No. 65) and the conventional cell measures 4.777, 22.177 and 3.513 Å, with angles of 90.00, 90.00 and 90.00 degrees. The inequivalent atoms are Dy at (0.000, 0.155, 0.000), Mg at (0.000, 0.000, 0.000), Mg at (0.000, 0.431, 0.500) and Tl at (0.000, 0.293, 0.500).

The value obtained for the formation enthalpy at 0 K is -0.7 eV/f.u.

=====

[2]
Computed, not measured: a relaxed Dy3Mg5Tl2 crystal at the GGA-PBE level of DFT.

The space group is Ibam (No. 72) and the conventional cell measures 12.497, 13.773 and 6.220 Å, with angles of 90.00, 90.00 and 90.00 degrees. The inequivalent atoms are Dy at (0.000, 0.000, 0.250), Dy at (0.131, 0.232, 0.000), Mg at (0.000, 0.500, 0.250), Mg at (0.110, 0.349, 0.500), Mg at (0.242, 0.500, 0.250) and Tl at (0.140, 0.152, 0.500).

The value obtained for the formation enthalpy at 0 K is -0.3 eV/f.u.

=====

[3]
Computed, not measured: a relaxed Dy6MgTl5 crystal at the GGA-PBE level of DFT.

The space group is Immm (No. 71) and the conventional cell measures 5.365, 7.531 and 16.127 Å, with angles of 90.00, 90.00 and 90.00 degrees. The inequivalent atoms are Dy at (0.000, 0.245, 0.000), Dy at (0.000, 0.252, 0.331), Mg at (0.000, 0.000, 0.500), Tl at (0.000, 0.000, 0.168), Tl at (0.000, 0.500, 0.158) and Tl at (0.000, 0.500, 0.500).

The value obtained for the formation enthalpy at 0 K is -3.7 eV/f.u.

=====

[4]
Computed, not measured: a relaxed Dy2MgTl crystal at the GGA-PBE level of DFT.

The space group is R3m (No. 160, hexagonal axes) and the conventional cell measures 3.5867, 3.5867 and 31.3761 Å, with angles of 90.00, 90.00 and 120.00 degrees. The inequivalent atoms are Dy at (0.0000, 0.0000, 0.0000), Dy at (0.0000, 0.0000, 0.1734), Mg at (0.0000, 0.0000, 0.4203) and Tl at (0.0000, 0.0000, 0.5868).

The value obtained for the formation enthalpy at 0 K is -0.2 eV/f.u.

=====

[5]
Computed, not measured: a relaxed DyMg2Tl crystal at the GGA-PBE level of DFT.

The space group is Pmmn (No. 59, origin choice 2) and the conventional cell measures 4.869, 6.241 and 6.630 Å, with angles of 90.00, 90.00 and 90.00 degrees. The inequivalent atoms are Dy at (0.250, 0.250, 0.097), Mg at (0.250, 0.505, 0.638) and Tl at (0.250, 0.750, 0.217).

The value obtained for the formation enthalpy at 0 K is -0.7 eV/f.u.

=====

[6]
Computed, not measured: a relaxed Dy3Mg2Tl6 crystal at the GGA-PBE level of DFT.

The space group is I4/mmm (No. 139) and the conventional cell measures 4.609, 4.609 and 28.419 Å, with angles of 90.00, 90.00 and 90.00 degrees. The inequivalent atoms are Dy at (0.000, 0.000, 0.000), Dy at (0.000, 0.000, 0.195), Mg at (0.000, 0.000, 0.453), Tl at (0.000, 0.000, 0.303) and Tl at (0.000, 0.500, 0.110).

The value obtained for the formation enthalpy at 0 K is -0.8 eV/f.u.

=====

[7]
Computed, not measured: a relaxed Dy4MgTl2 crystal at the GGA-PBE level of DFT.

The space group is P2_1/m (No. 11) and the conventional cell measures 7.421, 6.613 and 8.848 Å, with angles of 90.00, 110.03 and 90.00 degrees. The inequivalent atoms are Dy at (0.014, 0.250, 0.016), Dy at (0.166, 0.004, 0.717), Dy at (0.318, 0.750, 0.381), Mg at (0.451, 0.250, 0.225), Tl at (0.218, 0.250, 0.422) and Tl at (0.435, 0.750, 0.064).

The value obtained for the formation enthalpy at 0 K is -0.6 eV/f.u.

=====

[8]
Computed, not measured: a relaxed DyMg11Tl crystal at the GGA-PBE level of DFT.

The space group is C2/m (No. 12) and the conventional cell measures 5.917, 14.479 and 7.746 Å, with angles of 90.00, 111.20 and 90.00 degrees. The inequivalent atoms are Dy at (0.000, 0.000, 0.000), Mg at (0.000, 0.000, 0.500), Mg at (0.108, 0.395, 0.210), Mg at (0.166, 0.176, 0.350), Mg at (0.250, 0.250, 0.000) and Tl at (0.000, 0.500, 0.500).

The value obtained for the formation enthalpy at 0 K is -0.3 eV/f.u.

=====

[9]
Computed, not measured: a relaxed DyMg2Tl3 crystal at the GGA-PBE level of DFT.

The space group is C2/m (No. 12) and the conventional cell measures 21.680, 3.448 and 9.509 Å, with angles of 90.00, 109.52 and 90.00 degrees. The inequivalent atoms are Dy at (0.181, 0.000, 0.029), Mg at (0.073, 0.500, 0.151), Mg at (0.189, 0.000, 0.385), Tl at (0.060, 0.000, 0.442), Tl at (0.065, 0.500, 0.800) and Tl at (0.208, 0.000, 0.712).

The value obtained for the formation enthalpy at 0 K is 0.0 eV/f.u.

=====

[10]
Computed, not measured: a relaxed Dy2MgTl3 crystal at the GGA-PBE level of DFT.

The space group is Fmmm (No. 69) and the conventional cell measures 7.017, 10.148 and 17.632 Å, with angles of 90.00, 90.00 and 90.00 degrees. The inequivalent atoms are Dy at (0.245, 0.000, 0.000), Dy at (0.250, 0.250, 0.250), Mg at (0.000, 0.000, 0.332), Tl at (0.000, 0.000, 0.171) and Tl at (0.000, 0.242, 0.414).

The value obtained for the formation enthalpy at 0 K is -1.3 eV/f.u.

=====

Uncorrected energy values, unit eV/atom, following the record order: -2.780 -2.683 -3.730 -3.347 -2.714 -2.907 -3.613 -1.911 -2.485 -3.196.